Entry 1:
Computed, not measured: CeThMgPb after structural relaxation at the PBE-GGA level of DFT.

Values from the calculation:
Formation enthalpy at 0 K in eV/atom: -0.072
Space-group type: F-43m (216)

Unit cell a=5.504 b=5.504 c=5.504 alpha=60.00 beta=60.00 gamma=60.00
Element x y z (fractional)
1 Ce 0.000 0.000 0.000
2 Th 0.500 0.500 0.500
3 Mg 0.750 0.750 0.750
4 Pb 0.250 0.250 0.250

Entry 2:
Computed, not measured: CaLa2Se2 after structural relaxation at the PBE-GGA level of DFT.

Values from the calculation:
Uncorrected energy in eV/f.u.: -25.9
Space-group type: P4/mbm (127)

Unit cell a=8.264 b=8.264 c=4.080 alpha=90.00 beta=90.00 gamma=90.00
Element x y z (fractional)
1 Ca 0.000 0.000 0.000
2 Ca 0.500 0.500 0.000
3 La 0.155 0.345 0.500
4 La 0.345 0.845 0.500
5 La 0.655 0.155 0.500
6 La 0.845 0.655 0.500
7 Se 0.149 0.649 0.000
8 Se 0.351 0.149 0.000
9 Se 0.649 0.851 0.000
10 Se 0.851 0.351 0.000

Entry 3:
Computed, not measured: BaZr2As2 after structural relaxation at the PBE-GGA level of DFT.

Values from the calculation:
Formation enthalpy at 0 K in eV/atom: -0.920
Space-group type: I4/mmm (139)

Unit cell a=7.598 b=7.598 c=7.598 alpha=146.37 beta=146.37 gamma=48.30
Element x y z (fractional)
1 Ba 0.000 0.000 0.000
2 Zr 0.250 0.750 0.500
3 Zr 0.750 0.250 0.500
4 As 0.371 0.371 0.000
5 As 0.629 0.629 0.000

Entry 4:
Computed, not measured: SrZnOs2 after structural relaxation at the PBE-GGA level of DFT.

Values from the calculation:
Formation enthalpy at 0 K in eV/atom: 1.007
Space-group type: I4/mmm (139)

Unit cell a=5.473 b=5.473 c=5.473 alpha=137.53 beta=137.53 gamma=61.62
Element x y z (fractional)
1 Sr 0.000 0.000 0.000
2 Zn 0.500 0.500 0.000
3 Os 0.250 0.750 0.500
4 Os 0.750 0.250 0.500

Entry 5:
Computed, not measured: Tb7Ho3Sc2 after structural relaxation at the PBE-GGA level of DFT.

Values from the calculation:
Formation enthalpy at 0 K in eV/atom: 0.302
Space-group type: R-3m (166)

Unit cell a=11.456 b=11.456 c=11.456 alpha=32.58 beta=32.58 gamma=32.58
Element x y z (fractional)
1 Tb 0.000 0.000 0.000
2 Tb 0.084 0.084 0.579
3 Tb 0.084 0.579 0.084
4 Tb 0.421 0.916 0.916
5 Tb 0.579 0.084 0.084
6 Tb 0.916 0.421 0.916
7 Tb 0.916 0.916 0.421
8 Ho 0.348 0.348 0.348
9 Ho 0.500 0.500 0.500
10 Ho 0.652 0.652 0.652
11 Sc 0.166 0.166 0.166
12 Sc 0.834 0.834 0.834

Entry 6:
Computed, not measured: Li2MgGa2Au2 after structural relaxation at the PBE-GGA level of DFT.

Values from the calculation:
Formation enthalpy at 0 K in eV/atom: -0.494
Space-group type: R-3m (166)

Unit cell a=7.324 b=7.324 c=7.324 alpha=35.50 beta=35.50 gamma=35.50
Element x y z (fractional)
1 Li 0.140 0.140 0.140
2 Li 0.860 0.860 0.860
3 Mg 0.000 0.000 0.000
4 Ga 0.420 0.420 0.420
5 Ga 0.580 0.580 0.580
6 Au 0.269 0.269 0.269
7 Au 0.731 0.731 0.731